CeEr2Al3, optimized geometry, DFT GGA-PBE; formation energy = -207.4 kJ/mol of formula units; Fermi-level density of states = 5.72 states/eV/cell; SG = P4/mmm; mass density = 6600 kg/m3
1.0
3.524 0.000 0.000
0.000 3.524 0.000
0.000 0.000 11.257
Ce Er Al
1 2 3
direct
0.000 0.000 0.000
0.000 0.000 0.339
0.000 0.000 0.661
0.500 0.500 0.178
0.500 0.500 0.500
0.500 0.500 0.822

=====

CeEr7Al4, optimized geometry, DFT GGA-PBE; formation energy = 322.0 kJ/mol of formula units; Fermi-level density of states = 14.68 states/eV/cell; SG = C2/m; mass density = 6718 kg/m3
1.0
8.497 -2.669 0.000
8.497 2.669 0.000
-2.352 0.000 7.734
Ce Er Al
1 7 4
direct
0.000 0.000 0.000
0.214 0.214 0.278
0.318 0.318 0.008
0.367 0.367 0.613
0.500 0.500 0.000
0.633 0.633 0.387
0.682 0.682 0.992
0.786 0.786 0.722
0.178 0.178 0.650
0.449 0.449 0.337
0.551 0.551 0.663
0.822 0.822 0.350

=====

Ce2Er2Al3, optimized geometry, DFT GGA-PBE; formation energy = -181.8 kJ/mol of formula units; Fermi-level density of states = 10.01 states/eV/cell; SG = Cmmm; mass density = 7133 kg/m3
1.0
2.156 -11.617 0.000
2.156 11.617 0.000
0.000 0.000 3.234
Ce Er Al
2 2 3
direct
0.212 0.788 0.000
0.788 0.212 0.000
0.070 0.930 0.000
0.930 0.070 0.000
0.362 0.638 0.500
0.500 0.500 0.500
0.638 0.362 0.500

=====

CeEr2Al, optimized geometry, DFT GGA-PBE; formation energy = 1.6 kJ/mol of formula units; Fermi-level density of states = 5.68 states/eV/cell; SG = Fm-3m; mass density = 8112 kg/m3
1.0
0.000 3.717 3.717
3.717 0.000 3.717
3.717 3.717 0.000
Ce Er Al
1 2 1
direct
0.000 0.000 0.000
0.250 0.250 0.250
0.750 0.750 0.750
0.500 0.500 0.500

=====

Ce2ErAl9, optimized geometry, DFT GGA-PBE; formation energy = -378.6 kJ/mol of formula units; Fermi-level density of states = 12.20 states/eV/cell; SG = R-3m; mass density = 4802 kg/m3
1.0
2.790 1.611 8.850
-2.790 1.611 8.850
0.000 -3.222 8.850
Ce Er Al
2 1 9
direct
0.144 0.144 0.144
0.856 0.856 0.856
0.000 0.000 0.000
0.076 0.586 0.586
0.335 0.335 0.335
0.414 0.414 0.924
0.414 0.924 0.414
0.500 0.500 0.500
0.586 0.076 0.586
0.586 0.586 0.076
0.665 0.665 0.665
0.924 0.414 0.414

=====

CeEr4Al5, optimized geometry, DFT GGA-PBE; formation energy = -358.6 kJ/mol of formula units; Fermi-level density of states = 7.10 states/eV/cell; SG = P4/mmm; mass density = 6806 kg/m3
1.0
3.513 0.000 0.000
0.000 3.513 0.000
0.000 0.000 18.658
Ce Er Al
1 4 5
direct
0.000 0.000 0.000
0.000 0.000 0.207
0.000 0.000 0.402
0.000 0.000 0.598
0.000 0.000 0.793
0.500 0.500 0.108
0.500 0.500 0.304
0.500 0.500 0.500
0.500 0.500 0.696
0.500 0.500 0.892

=====

CeEr2Al, optimized geometry, DFT GGA-PBE; formation energy = -17.6 kJ/mol of formula units; Fermi-level density of states = 7.78 states/eV/cell; SG = F-43m; mass density = 7930 kg/m3
1.0
0.000 3.745 3.745
3.745 0.000 3.745
3.745 3.745 0.000
Ce Er Al
1 2 1
direct
0.000 0.000 0.000
0.250 0.250 0.250
0.500 0.500 0.500
0.750 0.750 0.750

=====

CeErAl6, optimized geometry, DFT GGA-PBE; formation energy = -320.2 kJ/mol of formula units; Fermi-level density of states = 5.16 states/eV/cell; SG = P-6m2; mass density = 4891 kg/m3
1.0
6.296 0.000 0.000
-3.148 5.452 0.000
0.000 0.000 4.641
Ce Er Al
1 1 6
direct
0.000 0.000 0.000
0.667 0.333 0.500
0.039 0.519 0.000
0.187 0.375 0.500
0.187 0.813 0.500
0.481 0.519 0.000
0.481 0.961 0.000
0.625 0.813 0.500